Below is a relaxed Co2Ni2Au crystal, with properties calculated at the PBE level.

Calculated values
ΔE_f   0.19 eV per atom
ΔE to the lowest computed polymorph   0.003 eV/atom
Space group   No. 127

Structure (CIF):
```
data_Co2Ni2Au
_space_group_name_H-M_alt 'P 1'
_space_group_IT_number 1
_cell_length_a 6.9483
_cell_length_b 6.9483
_cell_length_c 2.6241
_cell_angle_alpha 90.00
_cell_angle_beta 90.00
_cell_angle_gamma 90.00
loop_
_space_group_symop_operation_xyz
'x,y,z'
loop_
_atom_site_label
_atom_site_type_symbol
_atom_site_fract_x
_atom_site_fract_y
_atom_site_fract_z
Ni1 Ni 0.1717 0.6717 0.5000
Ni2 Ni 0.6717 0.8283 0.5000
Ni3 Ni 0.8283 0.3283 0.5000
Ni4 Ni 0.3283 0.1717 0.5000
Au1 Au 0.0000 0.0000 0.0000
Au2 Au 0.5000 0.5000 0.0000
Co1 Co 0.3805 0.8805 0.0000
Co2 Co 0.8805 0.6195 0.0000
Co3 Co 0.6195 0.1195 0.0000
Co4 Co 0.1195 0.3805 0.0000
```

---

Below is a relaxed PaCoNiAu crystal, with properties calculated at the PBE level.

Calculated values
ΔE_f   -0.23 eV per atom
Space group   No. 216

Structure (CIF):
```
data_PaCoNiAu
_space_group_name_H-M_alt 'P 1'
_space_group_IT_number 1
_cell_length_a 4.5283
_cell_length_b 4.5283
_cell_length_c 4.5283
_cell_angle_alpha 60.00
_cell_angle_beta 60.00
_cell_angle_gamma 60.00
loop_
_space_group_symop_operation_xyz
'x,y,z'
loop_
_atom_site_label
_atom_site_type_symbol
_atom_site_fract_x
_atom_site_fract_y
_atom_site_fract_z
Ni1 Ni 0.0000 0.0000 0.0000
Pa1 Pa 0.7500 0.7500 0.7500
Au1 Au 0.2500 0.2500 0.2500
Co1 Co 0.5000 0.5000 0.5000
```

---

Below is a relaxed CoRe2NiAu crystal, with properties calculated at the PBE level.

Calculated values
ΔE_f   2.86 eV per atom
Space group   No. 123

Structure (CIF):
```
data_CoRe2NiAu
_space_group_name_H-M_alt 'P 1'
_space_group_IT_number 1
_cell_length_a 4.8135
_cell_length_b 4.5531
_cell_length_c 4.8135
_cell_angle_alpha 90.00
_cell_angle_beta 90.00
_cell_angle_gamma 90.00
loop_
_space_group_symop_operation_xyz
'x,y,z'
loop_
_atom_site_label
_atom_site_type_symbol
_atom_site_fract_x
_atom_site_fract_y
_atom_site_fract_z
Re1 Re 0.0000 0.0000 0.5000
Re2 Re 0.5000 0.0000 0.0000
Co1 Co 0.0000 0.5000 0.0000
Au1 Au 0.0000 0.0000 0.0000
Ni1 Ni 0.5000 0.5000 0.5000
```

---

Below is a relaxed Co2NiSbAu crystal, with properties calculated at the PBE level.

Calculated values
Space group   No. 123
E_tot   -3.9617 eV per atom

Structure (CIF):
```
data_Co2NiSbAu
_space_group_name_H-M_alt 'P 1'
_space_group_IT_number 1
_cell_length_a 4.6956
_cell_length_b 5.1777
_cell_length_c 4.6956
_cell_angle_alpha 90.00
_cell_angle_beta 90.00
_cell_angle_gamma 90.00
loop_
_space_group_symop_operation_xyz
'x,y,z'
loop_
_atom_site_label
_atom_site_type_symbol
_atom_site_fract_x
_atom_site_fract_y
_atom_site_fract_z
Sb1 Sb 0.0000 0.5000 0.0000
Co1 Co 0.0000 0.0000 0.5000
Co2 Co 0.5000 0.0000 0.0000
Au1 Au 0.0000 0.0000 0.0000
Ni1 Ni 0.5000 0.5000 0.5000
```

---

Below is a relaxed Sc4CoNi2Au crystal, with properties calculated at the PBE level.

Calculated values
ΔE_f   -0.53 eV per atom
Space group   No. 166

Structure (CIF):
```
data_Sc4CoNi2Au
_space_group_name_H-M_alt 'P 1'
_space_group_IT_number 1
_cell_length_a 4.5567
_cell_length_b 4.5567
_cell_length_c 7.9293
_cell_angle_alpha 73.30
_cell_angle_beta 73.30
_cell_angle_gamma 60.00
loop_
_space_group_symop_operation_xyz
'x,y,z'
loop_
_atom_site_label
_atom_site_type_symbol
_atom_site_fract_x
_atom_site_fract_y
_atom_site_fract_z
Sc1 Sc 0.3818 0.3818 0.8547
Sc2 Sc 0.8703 0.8703 0.3891
Sc3 Sc 0.1297 0.1297 0.6109
Sc4 Sc 0.6182 0.6182 0.1453
Co1 Co 0.5000 0.5000 0.5000
Ni1 Ni 0.7528 0.7528 0.7416
Ni2 Ni 0.2472 0.2472 0.2584
Au1 Au 0.0000 0.0000 0.0000
```

---

Below is a relaxed Co2NiAuSe crystal, with properties calculated at the PBE level.

Calculated values
Space group   No. 123
E_tot   -4.4691 eV per atom

Structure (CIF):
```
data_Co2NiAuSe
_space_group_name_H-M_alt 'P 1'
_space_group_IT_number 1
_cell_length_a 4.4495
_cell_length_b 4.3305
_cell_length_c 4.4495
_cell_angle_alpha 90.00
_cell_angle_beta 90.00
_cell_angle_gamma 90.00
loop_
_space_group_symop_operation_xyz
'x,y,z'
loop_
_atom_site_label
_atom_site_type_symbol
_atom_site_fract_x
_atom_site_fract_y
_atom_site_fract_z
Ni1 Ni 0.0000 0.0000 0.0000
Au1 Au 0.5000 0.5000 0.5000
Se1 Se 0.0000 0.5000 0.0000
Co1 Co 0.0000 0.0000 0.5000
Co2 Co 0.5000 0.0000 0.0000
```

---

Below is a relaxed CoNiSnAu crystal, with properties calculated at the PBE level.

Calculated values
ΔE_f   0.02 eV per atom
Space group   No. 216

Structure (CIF):
```
data_CoNiSnAu
_space_group_name_H-M_alt 'P 1'
_space_group_IT_number 1
_cell_length_a 4.3898
_cell_length_b 4.3898
_cell_length_c 4.3898
_cell_angle_alpha 60.00
_cell_angle_beta 60.00
_cell_angle_gamma 60.00
loop_
_space_group_symop_operation_xyz
'x,y,z'
loop_
_atom_site_label
_atom_site_type_symbol
_atom_site_fract_x
_atom_site_fract_y
_atom_site_fract_z
Ni1 Ni 0.2500 0.2500 0.2500
Au1 Au 0.0000 0.0000 0.0000
Sn1 Sn 0.5000 0.5000 0.5000
Co1 Co 0.7500 0.7500 0.7500
```

---

Below is a relaxed TaCoNiAu crystal, with properties calculated at the PBE level.

Calculated values
ΔE_f   -0.09 eV per atom
Space group   No. 216

Structure (CIF):
```
data_TaCoNiAu
_space_group_name_H-M_alt 'P 1'
_space_group_IT_number 1
_cell_length_a 4.3028
_cell_length_b 4.3028
_cell_length_c 4.3028
_cell_angle_alpha 60.00
_cell_angle_beta 60.00
_cell_angle_gamma 60.00
loop_
_space_group_symop_operation_xyz
'x,y,z'
loop_
_atom_site_label
_atom_site_type_symbol
_atom_site_fract_x
_atom_site_fract_y
_atom_site_fract_z
Ni1 Ni 0.7500 0.7500 0.7500
Co1 Co 0.2500 0.2500 0.2500
Au1 Au 0.0000 0.0000 0.0000
Ta1 Ta 0.5000 0.5000 0.5000
```

---

Total magnetic moment, respectively: 9.95; 0.00; 2.53; 4.64; 0.00; 4.47; 1.03; 0.98 μB/cell.
Volume, respectively: 12.67; 16.41; 21.10; 22.83; 16.81; 17.15; 14.95; 14.08 Å³ per atom.